No. 1
Crystalline Li2BeZn at its relaxed geometry. Source: OQMD via LeMat-Bulk, functional PBE.

Space group   F-43m, No. 216
Calculated density   2.96 g/cm³
V   12.38 A^3/atom
Polymorph energy (0 for the lowest one)   0.000 eV per atom

a b c (Å): 4.1214 4.1214 4.1214
angles (deg): 60.00 60.00 60.00
Closest atoms and distances in Å follow each position.
Fractional positions:
Li 0.0000 0.0000 0.0000  4 Li 2.52, 4 Be 2.52
Li 0.2500 0.2500 0.2500  4 Zn 2.52, 4 Li 2.52
Be 0.7500 0.7500 0.7500  4 Zn 2.52, 4 Li 2.52
Zn 0.5000 0.5000 0.5000  4 Li 2.52, 4 Be 2.52

=====

No. 2
Crystalline LiBe2Zn at its relaxed geometry. Source: OQMD via LeMat-Bulk, functional PBE.

Space group   F-43m, No. 216
Calculated density   3.59 g/cm³
Raw total energy   -2.586 eV/atom
V   10.44 A^3/atom

a b c (Å): 3.8943 3.8943 3.8943
angles (deg): 60.00 60.00 60.00
Closest atoms and distances in Å follow each position.
Fractional positions:
Li 0.0000 0.0000 0.0000  4 Zn 2.38, 4 Be 2.38
Be 0.2500 0.2500 0.2500  4 Li 2.38, 4 Be 2.38
Be 0.5000 0.5000 0.5000  4 Zn 2.38, 4 Be 2.38
Zn 0.7500 0.7500 0.7500  4 Be 2.38, 4 Li 2.38